[1]
Sc2MnFeGe2 | PBE | relaxed

It has space group Ibam (No. 72), with a = 5.367 Å, b = 13.639 Å, c = 5.373 Å, α = 90.00°, β = 90.00° and γ = 90.00°. The inequivalent atoms are Sc at (0.249, 0.168, 0.000), Mn at (0.000, 0.500, 0.250), Fe at (0.000, 0.000, 0.250) and Ge at (0.248, 0.119, 0.500).

As for the formation energy: -565 meV/atom.

***

[2]
Mn4Fe8Si3Ge | PBE | relaxed

It has space group R-3m (No. 166, hexagonal axes), with a = 3.9666 Å, b = 3.9666 Å, c = 38.9067 Å, α = 90.00°, β = 90.00° and γ = 120.00°. The inequivalent atoms are Mn at (0.0000, 0.0000, 0.1245), Mn at (0.0000, 0.0000, 0.3746), Fe at (0.0000, 0.0000, 0.0624), Fe at (0.0000, 0.0000, 0.1887), Fe at (0.0000, 0.0000, 0.3127), Fe at (0.0000, 0.0000, 0.4357), Si at (0.0000, 0.0000, 0.0000), Si at (0.0000, 0.0000, 0.2505) and Ge at (0.0000, 0.0000, 0.5000).

The calculation puts the raw formation energy at -415.2 kJ/mol of formula units.

***

[3]
Mn2Fe4SiGe | PBE | relaxed

It has space group R-3m (No. 166, hexagonal axes), with a = 3.9852 Å, b = 3.9852 Å, c = 19.5432 Å, α = 90.00°, β = 90.00° and γ = 120.00°. The inequivalent atoms are Mn at (0.0000, 0.0000, 0.2501), Fe at (0.0000, 0.0000, 0.1218), Fe at (0.0000, 0.0000, 0.3727), Si at (0.0000, 0.0000, 0.0000) and Ge at (0.0000, 0.0000, 0.5000).

The calculation puts the raw formation energy at -163.2 kJ/mol of formula units.

***

[4]
Mn4Fe8SiGe3 | PBE | relaxed

It has space group R-3m (No. 166, hexagonal axes), with a = 4.0042 Å, b = 4.0042 Å, c = 39.2627 Å, α = 90.00°, β = 90.00° and γ = 120.00°. The inequivalent atoms are Mn at (0.0000, 0.0000, 0.1245), Mn at (0.0000, 0.0000, 0.3746), Fe at (0.0000, 0.0000, 0.0610), Fe at (0.0000, 0.0000, 0.1871), Fe at (0.0000, 0.0000, 0.3139), Fe at (0.0000, 0.0000, 0.4371), Si at (0.0000, 0.0000, 0.0000), Ge at (0.0000, 0.0000, 0.2505) and Ge at (0.0000, 0.0000, 0.5000).

The calculation puts the raw formation energy at -241.1 kJ/mol of formula units.

***

[5]
SmMnFeGe3 | PBE | relaxed

It has space group Cmcm (No. 63), with a = 7.248 Å, b = 10.883 Å, c = 5.784 Å, α = 90.00°, β = 90.00° and γ = 90.00°. The inequivalent atoms are Sm at (0.000, 0.248, 0.250), Mn at (0.000, 0.450, 0.750), Fe at (0.000, 0.041, 0.750), Ge at (0.000, 0.245, 0.750) and Ge at (0.249, 0.000, 0.000).

As for the formation energy: -171 meV/atom.

***

[6]
TbMnFeGe3 | PBE | relaxed

It has space group Cmcm (No. 63), with a = 7.426 Å, b = 10.640 Å, c = 5.631 Å, α = 90.00°, β = 90.00° and γ = 90.00°. The inequivalent atoms are Tb at (0.000, 0.248, 0.250), Mn at (0.000, 0.455, 0.750), Fe at (0.000, 0.039, 0.750), Ge at (0.000, 0.246, 0.750) and Ge at (0.249, 0.000, 0.000).

As for the formation energy: -141 meV/atom.

***

Looking at DFT total energy for the records above, in order, we have -171.69; -388.71; -191.77; -378.46; -148.91; -147.85 eV/cell.